Record 1
VASP calculation (GGA-PBE) on a geometry-optimized Ce4Ho2C structure.

a = 8.9871 Å, b = 8.9871 Å, c = 8.9871 Å
α = 148.08°, β = 148.08°, γ = 45.77°
Fractional coordinates of all 7 atoms:
Ce1 0.0000 0.5000 0.5000
Ce2 0.1427 0.1427 0.0000
Ce3 0.5000 0.0000 0.5000
Ce4 0.8573 0.8573 0.0000
Ho1 0.3452 0.3452 0.0000
Ho2 0.6548 0.6548 0.0000
C1 0.0000 0.0000 0.0000

space-group type: I4/mmm
energy relative to the elements: 0.2005 eV/atom

Record 2
VASP calculation (GGA-PBE) on a geometry-optimized CeHo2C2 structure.

a = 9.6161 Å, b = 9.6161 Å, c = 9.6161 Å
α = 21.61°, β = 21.61°, γ = 21.61°
Fractional coordinates of all 5 atoms:
Ce1 0.0000 0.0000 0.0000
Ho1 0.2324 0.2324 0.2324
Ho2 0.7676 0.7676 0.7676
C1 0.3910 0.3910 0.3910
C2 0.6090 0.6090 0.6090

space-group type: R-3m
energy relative to the elements: -0.2093 eV/atom

Record 3
VASP calculation (GGA-PBE) on a geometry-optimized Ce3HoC8 structure.

a = 6.5809 Å, b = 5.9980 Å, c = 6.8426 Å
α = 61.24°, β = 53.04°, γ = 65.72°
Fractional coordinates of all 12 atoms:
Ce1 0.0000 0.0000 0.0000
Ce2 0.1838 0.1838 0.3162
Ce3 0.6838 0.6838 0.8162
Ho1 0.4789 0.4789 0.5211
C1 0.1204 0.4643 0.5357
C2 0.1698 0.6714 0.3286
C3 0.3735 0.8703 0.6265
C4 0.4643 0.1204 0.8796
C5 0.5913 0.9091 0.4087
C6 0.6714 0.1698 0.8302
C7 0.8703 0.3735 0.1297
C8 0.9091 0.5913 0.0909

space-group type: Fmm2
energy relative to the elements: 0.1052 eV/atom

Record 4
VASP calculation (GGA-PBE) on a geometry-optimized Ce2HoC2I2 structure.

a = 10.0490 Å, b = 10.0490 Å, c = 10.0490 Å
α = 153.89°, β = 153.89°, γ = 37.26°
Fractional coordinates of all 7 atoms:
Ce1 0.0759 0.0759 0.0000
Ce2 0.9241 0.9241 0.0000
Ho1 0.5000 0.5000 0.0000
C1 0.0000 0.5000 0.5000
C2 0.5000 0.0000 0.5000
I1 0.3332 0.3332 0.0000
I2 0.6668 0.6668 0.0000

space-group type: I4/mmm
energy: -0.437 Ry per atom

Number 1: V 28.90 Å³ per atom, DOS(E_F) 17.89 states/eV/cell. Number 2: V 21.14 Å³ per atom, DOS(E_F) 3.82 states/eV/cell. Number 3: V 15.53 Å³ per atom, DOS(E_F) 13.15 states/eV/cell. Number 4: V 28.04 Å³ per atom, DOS(E_F) 7.61 states/eV/cell.